[1]
The following is a DFT calculation (PBE) of crystalline Si3Hg4 at its relaxed geometry.

a b c (Å): 5.474 5.474 5.474
angles (deg): 90.00 90.00 90.00
Space group Pm-3m (No. 221)
Asymmetric unit:
Si 0.000 0.000 0.500 [3 per cell]
Hg 0.000 0.000 0.000 [1 per cell]
Hg 0.000 0.500 0.500 [3 per cell]

Calculated values
Its offset from the most stable computed form is 105.5 meV per atom. The energy relative to the elements, uncorrected is 44.75 kJ/mol of atoms.

---

[2]
The following is a DFT calculation (PBE) of crystalline PrSm5Tl3 at its relaxed geometry.

a b c (Å): 9.5870 9.5870 6.8852
angles (deg): 90.00 90.00 120.00
Space group P6_3/mcm (No. 193)
Asymmetric unit:
Pr 0.0000 0.0000 0.0000 [2 per cell]
Sm 0.0000 0.3306 0.2500 [6 per cell]
Sm 0.3333 0.6667 0.0000 [4 per cell]
Tl 0.0000 0.3378 0.7500 [6 per cell]

Calculated values
The value obtained for the formation energy is -0.27 eV/atom. Its offset from the most stable computed form is 0.0 meV per atom.

---

[3]
The following is a DFT calculation (PBE) of crystalline Zr3HgN2 at its relaxed geometry.

a b c (Å): 6.1632 6.1632 5.9840
angles (deg): 90.00 90.00 120.00
Space group P6_3/mcm (No. 193)
Asymmetric unit:
Zr 0.0000 0.4515 0.2500 [6 per cell]
Hg 0.0000 0.0000 0.2500 [2 per cell]
N 0.3333 0.6667 0.0000 [4 per cell]

Calculated values
The energy relative to the elements, uncorrected is -83.91 kJ/mol of atoms.

---

[4]
The following is a DFT calculation (PBE) of crystalline NdCdPb at its relaxed geometry.

a b c (Å): 3.712 3.712 12.469
angles (deg): 90.00 90.00 90.00
Space group I4mm (No. 107)
Asymmetric unit:
Nd 0.000 0.000 0.000 [2 per cell]
Cd 0.000 0.000 0.337 [2 per cell]
Pb 0.000 0.000 0.686 [2 per cell]

Calculated values
The value obtained for the formation energy is -0.27 eV/atom.

---

[5]
The following is a DFT calculation (PBE) of crystalline InHgPd14 at its relaxed geometry.

a b c (Å): 5.681 5.681 7.925
angles (deg): 90.00 90.00 90.00
Space group P4/mmm (No. 123)
Asymmetric unit:
In 0.000 0.000 0.000 [1 per cell]
Hg 0.500 0.500 0.000 [1 per cell]
Pd 0.000 0.000 0.500 [1 per cell]
Pd 0.000 0.500 0.000 [2 per cell]
Pd 0.000 0.500 0.500 [2 per cell]
Pd 0.249 0.249 0.254 [8 per cell]
Pd 0.500 0.500 0.500 [1 per cell]

Calculated values
The value obtained for the formation energy is -0.13 eV/atom.

---

[6]
The following is a DFT calculation (PBE) of crystalline SnBi4Pd5 at its relaxed geometry.

a b c (Å): 8.772 8.772 5.752
angles (deg): 90.00 90.00 90.00
Space group I4 (No. 79)
Asymmetric unit:
Sn 0.000 0.000 0.000 [2 per cell]
Bi 0.075 0.687 0.294 [8 per cell]
Pd 0.000 0.000 0.477 [2 per cell]
Pd 0.094 0.749 0.780 [8 per cell]

Calculated values
The value obtained for the formation energy is -0.25 eV/atom.

---

What did the fifth record say?
The following is a DFT calculation (PBE) of crystalline InHgPd14 at its relaxed geometry.

a b c (Å): 5.681 5.681 7.925
angles (deg): 90.00 90.00 90.00
Space group P4/mmm (No. 123)
Asymmetric unit:
In 0.000 0.000 0.000 [1 per cell]
Hg 0.500 0.500 0.000 [1 per cell]
Pd 0.000 0.000 0.500 [1 per cell]
Pd 0.000 0.500 0.000 [2 per cell]
Pd 0.000 0.500 0.500 [2 per cell]
Pd 0.249 0.249 0.254 [8 per cell]
Pd 0.500 0.500 0.500 [1 per cell]

Calculated values
The value obtained for the formation energy is -0.13 eV/atom.

---

> What is the formula in the fifth record?

InHgPd14